The following is a DFT calculation (GGA-PBE) of an optimized crystal structure of SmBiAsO.

Uncorrected energy   -5.764 eV/atom

a b c (Å): 4.9127 6.4654 6.6032
angles (deg): 90.00 90.00 90.00
Positions (direct):
As  0.0000  0.8105  0.3736
As  0.0000  0.1895  0.8736
Bi  0.0000  0.2500  0.4298
Bi  0.0000  0.7500  0.9298
O  0.5000  0.3569  0.3942
O  0.5000  0.6431  0.8942
Sm  0.5000  0.3438  0.0564
Sm  0.5000  0.6562  0.5564